Entry 1:
A geometry-optimized RbZr2Ni structure. Source: the Alexandria database, functional PBE.

Properties
Its formation energy from the elements is 994 meV per atom. The offset from the most stable computed form is 0.000 eV per atom.

Unit cell a=6.961 b=6.961 c=6.961 alpha=90.00 beta=90.00 gamma=90.00
Space group Fm-3m (No. 225)
Asymmetric unit:
Rb (0.000, 0.000, 0.000) [4 per cell]
Zr (0.250, 0.250, 0.250) [8 per cell]
Ni (0.000, 0.000, 0.500) [4 per cell]


Entry 2:
A geometry-optimized Sm2CuPd9 structure. Source: the Alexandria database, functional PBE.

Properties
Its formation energy from the elements is -527 meV per atom.

Unit cell a=4.148 b=4.148 c=11.934 alpha=90.00 beta=90.00 gamma=90.00
Space group P4/mmm (No. 123)
Asymmetric unit:
Sm (0.000, 0.000, 0.177) [2 per cell]
Cu (0.000, 0.000, 0.500) [1 per cell]
Pd (0.000, 0.500, 0.000) [2 per cell]
Pd (0.000, 0.500, 0.351) [4 per cell]
Pd (0.500, 0.500, 0.175) [2 per cell]
Pd (0.500, 0.500, 0.500) [1 per cell]


Entry 3:
A geometry-optimized HfCIO2 structure. Source: the Alexandria database, functional PBE.

Properties
The uncorrected formation energy comes out at 408.9 kJ/mol of formula units. The offset from the most stable computed form is 1.267 eV per atom.

Unit cell a=4.022 b=4.022 c=4.233 alpha=90.00 beta=90.00 gamma=90.00
Space group P4/mmm (No. 123)
Asymmetric unit:
Hf (0.000, 0.000, 0.000) [1 per cell]
C (0.500, 0.500, 0.500) [1 per cell]
I (0.500, 0.500, 0.000) [1 per cell]
O (0.000, 0.500, 0.500) [2 per cell]


Entry 4:
A geometry-optimized Nd2MnVN5 structure. Source: the Alexandria database, functional PBE.

Properties
The uncorrected formation energy comes out at -803.3 kJ/mol of formula units.

Unit cell a=3.311 b=13.931 c=9.955 alpha=90.00 beta=90.00 gamma=90.00
Space group Cmc2_1 (No. 36)
Asymmetric unit:
Nd (0.000, 0.121, 0.000) [4 per cell]
Nd (0.000, 0.132, 0.633) [4 per cell]
Mn (0.000, 0.211, 0.346) [4 per cell]
V (0.000, 0.436, 0.773) [4 per cell]
N (0.000, 0.049, 0.359) [4 per cell]
N (0.000, 0.293, 0.971) [4 per cell]
N (0.000, 0.313, 0.709) [4 per cell]
N (0.000, 0.345, 0.327) [4 per cell]
N (0.000, 0.497, 0.620) [4 per cell]


Entry 5:
A geometry-optimized PuCu2As2 structure. Source: the Alexandria database, functional PBE.

Properties
Its formation energy from the elements is -305 meV per atom.

Unit cell a=8.624 b=10.008 c=6.221 alpha=90.00 beta=133.49 gamma=90.00
Space group C2/c (No. 15)
Asymmetric unit:
Pu (0.000, 0.126, 0.250) [4 per cell]
Cu (0.142, 0.374, 0.032) [8 per cell]
As (0.000, 0.162, 0.750) [4 per cell]
As (0.000, 0.414, 0.250) [4 per cell]


Entry 6:
A geometry-optimized La12Pr3Zn structure. Source: the Alexandria database, functional PBE.

Properties
Its formation energy from the elements is -1 meV per atom.

Unit cell a=5.186 b=5.186 c=20.864 alpha=90.00 beta=90.00 gamma=90.00
Space group P4/mmm (No. 123)
Asymmetric unit:
La (0.000, 0.000, 0.000) [1 per cell]
La (0.000, 0.000, 0.244) [2 per cell]
La (0.000, 0.000, 0.500) [1 per cell]
La (0.000, 0.500, 0.117) [4 per cell]
La (0.000, 0.500, 0.372) [4 per cell]
Pr (0.500, 0.500, 0.243) [2 per cell]
Pr (0.500, 0.500, 0.500) [1 per cell]
Zn (0.500, 0.500, 0.000) [1 per cell]


Entry 7:
A geometry-optimized NaV2IrN structure. Source: the Alexandria database, functional PBE.

Properties
The uncorrected formation energy comes out at 1550.2 kJ/mol of formula units.

Unit cell a=4.367 b=4.367 c=4.475 alpha=90.00 beta=90.00 gamma=90.00
Space group P4/mmm (No. 123)
Asymmetric unit:
Na (0.000, 0.000, 0.000) [1 per cell]
V (0.000, 0.500, 0.000) [2 per cell]
Ir (0.000, 0.000, 0.500) [1 per cell]
N (0.500, 0.500, 0.500) [1 per cell]


Entry 8:
A geometry-optimized Nd7Sm4Tm structure. Source: the Alexandria database, functional PBE.

Properties
Its formation energy from the elements is 11 meV per atom. The offset from the most stable computed form is 0.000 eV per atom.

Unit cell a=6.361 b=7.347 c=9.091 alpha=89.98 beta=76.48 gamma=89.99
Space group P-1 (No. 2)
Asymmetric unit:
Nd (0.000, 0.000, 0.000) [1 per cell]
Nd (0.221, 0.500, 0.333) [2 per cell]
Nd (0.278, 0.250, 0.669) [2 per cell]
Nd (0.500, 0.251, 0.000) [2 per cell]
Sm (0.223, 0.000, 0.334) [2 per cell]
Sm (0.277, 0.750, 0.670) [2 per cell]
Tm (0.000, 0.500, 0.000) [1 per cell]


Entry 9:
A geometry-optimized PmPuO4F structure. Source: the Alexandria database, functional PBE.

Properties
The uncorrected formation energy comes out at -1924.0 kJ/mol of formula units.

Unit cell a=10.009 b=7.148 c=6.713 alpha=90.00 beta=96.00 gamma=90.00
Space group C2/m (No. 12)
Asymmetric unit:
Pm (0.190, 0.000, 0.066) [4 per cell]
Pu (0.142, 0.500, 0.380) [4 per cell]
O (0.051, 0.500, 0.699) [4 per cell]
O (0.192, 0.000, 0.475) [4 per cell]
O (0.197, 0.313, 0.173) [8 per cell]
F (0.021, 0.000, 0.818) [4 per cell]


Entry 10:
A geometry-optimized MnRe2Se structure. Source: the Alexandria database, functional PBE.

Properties
The uncorrected formation energy comes out at 108.8 kJ/mol of formula units.

Unit cell a=2.8330 b=2.8330 c=25.1752 alpha=90.00 beta=90.00 gamma=120.00
Space group R3m (No. 160, hexagonal axes)
Asymmetric unit:
Mn (0.0000, 0.0000, 0.0000) [3 per cell]
Re (0.0000, 0.0000, 0.5019) [3 per cell]
Re (0.0000, 0.0000, 0.7512) [3 per cell]
Se (0.0000, 0.0000, 0.2622) [3 per cell]


Entry 11:
A geometry-optimized NiSb2P structure. Source: the Alexandria database, functional PBE.

Properties
The uncorrected formation energy comes out at -0.4 kJ/mol of formula units.

Unit cell a=3.666 b=5.157 c=8.364 alpha=90.00 beta=90.00 gamma=90.00
Space group Amm2 (No. 38)
Asymmetric unit:
Ni (0.000, 0.000, 0.000) [2 per cell]
Sb (0.000, 0.000, 0.536) [2 per cell]
Sb (0.500, 0.000, 0.222) [2 per cell]
P (0.500, 0.000, 0.835) [2 per cell]


Entry 12:
A geometry-optimized K2Zr2USe6 structure. Source: the Alexandria database, functional PBE.

Properties
The uncorrected formation energy comes out at -1420.6 kJ/mol of formula units.

Unit cell a=6.825 b=11.895 c=8.292 alpha=90.00 beta=105.83 gamma=90.00
Space group C2/m (No. 12)
Asymmetric unit:
K (0.000, 0.164, 0.000) [4 per cell]
Zr (0.000, 0.333, 0.500) [4 per cell]
U (0.000, 0.000, 0.500) [2 per cell]
Se (0.219, 0.500, 0.701) [4 per cell]
Se (0.239, 0.171, 0.701) [8 per cell]


Entry 13:
A geometry-optimized Zr3CuOs structure. Source: the Alexandria database, functional PBE.

Properties
Its formation energy from the elements is -286 meV per atom. The offset from the most stable computed form is 0.000 eV per atom.

Unit cell a=4.646 b=17.387 c=4.663 alpha=90.00 beta=90.00 gamma=90.00
Space group Cmcm (No. 63)
Asymmetric unit:
Zr (0.000, 0.060, 0.250) [4 per cell]
Zr (0.000, 0.250, 0.250) [4 per cell]
Zr (0.000, 0.439, 0.250) [4 per cell]
Cu (0.000, 0.346, 0.750) [4 per cell]
Os (0.000, 0.157, 0.750) [4 per cell]


Entry 14:
A geometry-optimized CeHo8Ir6 structure. Source: the Alexandria database, functional PBE.

Properties
Its formation energy from the elements is -805 meV per atom.

Unit cell a=8.2273 b=8.2273 c=18.0739 alpha=90.00 beta=90.00 gamma=120.00
Space group R-3 (No. 148, hexagonal axes)
Asymmetric unit:
Ce (0.0000, 0.0000, 0.0000) [3 per cell]
Ho (0.0000, 0.0000, 0.3377) [6 per cell]
Ho (0.0078, 0.6832, 0.2204) [18 per cell]
Ir (0.0017, 0.6757, 0.0557) [18 per cell]


Entry 15:
A geometry-optimized LiGeAsBr2 structure. Source: the Alexandria database, functional PBE.

Properties
The uncorrected formation energy comes out at -49.6 kJ/mol of formula units. The offset from the most stable computed form is 0.000 eV per atom.

Unit cell a=5.507 b=5.507 c=5.147 alpha=90.00 beta=90.00 gamma=90.00
Space group P4/mmm (No. 123)
Asymmetric unit:
Li (0.000, 0.000, 0.000) [1 per cell]
Ge (0.500, 0.500, 0.500) [1 per cell]
As (0.500, 0.500, 0.000) [1 per cell]
Br (0.000, 0.500, 0.500) [2 per cell]


Entry 16:
A geometry-optimized BaMgAs2 structure. Source: the Alexandria database, functional PBE.

Properties
Its formation energy from the elements is -304 meV per atom.

Unit cell a=4.476 b=4.476 c=10.658 alpha=90.00 beta=90.00 gamma=90.00
Space group I-4m2 (No. 119)
Asymmetric unit:
Ba (0.000, 0.000, 0.000) [2 per cell]
Mg (0.000, 0.500, 0.750) [2 per cell]
As (0.000, 0.000, 0.500) [2 per cell]
As (0.000, 0.500, 0.250) [2 per cell]


Entry 17:
A geometry-optimized CuIrCl structure. Source: the Alexandria database, functional PBE.

Properties
The uncorrected formation energy comes out at 143.2 kJ/mol of formula units. The offset from the most stable computed form is 0.000 eV per atom.

Unit cell a=2.838 b=5.196 c=12.344 alpha=90.00 beta=90.00 gamma=90.00
Space group Fmm2 (No. 42)
Asymmetric unit:
Cu (0.000, 0.000, 0.000) [4 per cell]
Ir (0.000, 0.000, 0.334) [4 per cell]
Cl (0.000, 0.000, 0.659) [4 per cell]


Entry 18:
A geometry-optimized LiCd2Rh structure. Source: the Alexandria database, functional PBE.

Properties
Its formation energy from the elements is 3 meV per atom. The offset from the most stable computed form is 0.276 eV per atom.

Unit cell a=3.120 b=4.824 c=9.449 alpha=90.00 beta=90.00 gamma=90.00
Space group Cmm2 (No. 35)
Asymmetric unit:
Li (0.000, 0.000, 0.000) [2 per cell]
Cd (0.000, 0.000, 0.448) [2 per cell]
Cd (0.000, 0.500, 0.742) [2 per cell]
Rh (0.000, 0.500, 0.209) [2 per cell]


Entry 19:
A geometry-optimized Cd3Pd2Au4 structure. Source: the Alexandria database, functional PBE.

Properties
Its formation energy from the elements is -207 meV per atom. The offset from the most stable computed form is 0.020 eV per atom.

Unit cell a=13.370 b=9.997 c=5.023 alpha=90.00 beta=100.16 gamma=90.00
Space group C2/c (No. 15)
Asymmetric unit:
Cd (0.000, 0.116, 0.250) [4 per cell]
Cd (0.168, 0.372, 0.079) [8 per cell]
Pd (0.112, 0.125, 0.806) [8 per cell]
Au (0.054, 0.370, 0.529) [8 per cell]
Au (0.221, 0.122, 0.367) [8 per cell]


Entry 20:
A geometry-optimized Y3BiSe structure. Source: the Alexandria database, functional PBE.

Properties
The uncorrected formation energy comes out at -311.0 kJ/mol of formula units. The offset from the most stable computed form is 0.429 eV per atom.

Unit cell a=5.367 b=5.367 c=5.367 alpha=90.00 beta=90.00 gamma=90.00
Space group Pm-3m (No. 221)
Asymmetric unit:
Y (0.000, 0.000, 0.500) [3 per cell]
Bi (0.500, 0.500, 0.500) [1 per cell]
Se (0.000, 0.000, 0.000) [1 per cell]


Entry 21:
A geometry-optimized MgHg3Br structure. Source: the Alexandria database, functional PBE.

Properties
The uncorrected formation energy comes out at 159.7 kJ/mol of formula units. The offset from the most stable computed form is 0.451 eV per atom.

Unit cell a=6.142 b=6.142 c=6.142 alpha=90.00 beta=90.00 gamma=90.00
Space group Pm-3m (No. 221)
Asymmetric unit:
Mg (0.000, 0.000, 0.000) [1 per cell]
Hg (0.000, 0.500, 0.500) [3 per cell]
Br (0.500, 0.500, 0.500) [1 per cell]


Entry 22:
A geometry-optimized MnAg2Br structure. Source: the Alexandria database, functional PBE.

Properties
The uncorrected formation energy comes out at 26.9 kJ/mol of formula units. The offset from the most stable computed form is 0.000 eV per atom.

Unit cell a=3.588 b=3.392 c=7.213 alpha=90.00 beta=90.38 gamma=90.00
Space group Pm (No. 6)
Asymmetric unit:
Mn (0.000, 0.000, 0.000) [1 per cell]
Ag (0.005, 0.000, 0.387) [1 per cell]
Ag (0.502, 0.500, 0.185) [1 per cell]
Br (0.995, 0.500, 0.731) [1 per cell]


Entry 23:
A geometry-optimized LiCd12Ag3 structure. Source: the Alexandria database, functional PBE.

Properties
Its formation energy from the elements is -45 meV per atom.

Unit cell a=4.301 b=4.301 c=17.926 alpha=90.00 beta=90.00 gamma=90.00
Space group P4/mmm (No. 123)
Asymmetric unit:
Li (0.000, 0.000, 0.000) [1 per cell]
Cd (0.000, 0.500, 0.124) [4 per cell]
Cd (0.000, 0.500, 0.375) [4 per cell]
Cd (0.500, 0.500, 0.000) [1 per cell]
Cd (0.500, 0.500, 0.251) [2 per cell]
Cd (0.500, 0.500, 0.500) [1 per cell]
Ag (0.000, 0.000, 0.249) [2 per cell]
Ag (0.000, 0.000, 0.500) [1 per cell]


Entry 24:
A geometry-optimized CaIrOs2 structure. Source: the Alexandria database, functional PBE.

Properties
Its formation energy from the elements is 730 meV per atom. The offset from the most stable computed form is 0.511 eV per atom.

Unit cell a=4.733 b=4.733 c=2.898 alpha=90.00 beta=90.00 gamma=90.00
Space group P4/mmm (No. 123)
Asymmetric unit:
Ca (0.000, 0.000, 0.000) [1 per cell]
Ir (0.500, 0.500, 0.000) [1 per cell]
Os (0.000, 0.500, 0.500) [2 per cell]